[1]
Density functional theory data (GGA-PBE) for a relaxed Sr2LiGaIr crystal.

Unit cell a=5.870 b=5.870 c=4.841 alpha=90.00 beta=90.00 gamma=90.00
Space group P4/mmm (No. 123)
Asymmetric unit:
Sr1 0.000 0.500 0.000 x2
Li1 0.000 0.000 0.500 x1
Ga1 0.500 0.500 0.500 x1
Ir1 0.500 0.500 0.000 x1

Energy of formation in eV per atom: -0.18

=====

[2]
Density functional theory data (GGA-PBE) for a relaxed NbPdPb3 crystal.

Unit cell a=5.464 b=5.464 c=5.464 alpha=90.00 beta=90.00 gamma=90.00
Space group Pm-3m (No. 221)
Asymmetric unit:
Nb1 0.000 0.000 0.000 x1
Pd1 0.500 0.500 0.500 x1
Pb1 0.000 0.000 0.500 x3

Energy of formation in eV per atom: 0.74

=====

[3]
Density functional theory data (GGA-PBE) for a relaxed La2Tb3Pm6Tl crystal.

Unit cell a=6.220 b=10.786 c=11.987 alpha=90.00 beta=100.05 gamma=90.00
Space group C2/m (No. 12)
Asymmetric unit:
La1 0.000 0.166 0.000 x4
Tb1 0.000 0.000 0.500 x2
Tb2 0.000 0.333 0.500 x4
Pm1 0.242 0.500 0.747 x4
Pm2 0.246 0.337 0.252 x8
Tl1 0.000 0.500 0.000 x2

Energy of formation in eV per atom: -0.04

=====

[4]
Density functional theory data (GGA-PBE) for a relaxed Ba3SrNd2Te6 crystal.

Unit cell a=8.211 b=14.217 c=8.343 alpha=90.00 beta=109.14 gamma=90.00
Space group C2/m (No. 12)
Asymmetric unit:
Ba1 0.000 0.000 0.000 x2
Ba2 0.000 0.335 0.000 x4
Sr1 0.000 0.500 0.500 x2
Nd1 0.000 0.167 0.500 x4
Te1 0.235 0.000 0.725 x4
Te2 0.246 0.330 0.727 x8

Formation energy from raw total energies in meV/atom: -1633

=====

[5]
Density functional theory data (GGA-PBE) for a relaxed Sr2SeCl crystal.

Unit cell a=4.211 b=4.448 c=6.712 alpha=90.00 beta=90.00 gamma=90.00
Space group Pmmm (No. 47)
Asymmetric unit:
Sr1 0.000 0.000 0.000 x1
Sr2 0.000 0.500 0.500 x1
Se1 0.500 0.000 0.500 x1
Cl1 0.500 0.500 0.000 x1

Formation energy from raw total energies in meV/atom: -1588

=====

[6]
Density functional theory data (GGA-PBE) for a relaxed GaGePdCl2 crystal.

Unit cell a=4.791 b=4.791 c=5.094 alpha=90.00 beta=90.00 gamma=90.00
Space group P4/mmm (No. 123)
Asymmetric unit:
Ga1 0.000 0.000 0.000 x1
Ge1 0.500 0.500 0.500 x1
Pd1 0.000 0.000 0.500 x1
Cl1 0.000 0.500 0.000 x2

Formation energy from raw total energies in meV/atom: 154

=====

[7]
Density functional theory data (GGA-PBE) for a relaxed Co2NiPd2 crystal.

Unit cell a=5.908 b=5.908 c=3.888 alpha=90.00 beta=90.00 gamma=90.00
Space group P4/mbm (No. 127)
Asymmetric unit:
Co1 0.131 0.369 0.000 x4
Ni1 0.000 0.000 0.000 x2
Pd1 0.170 0.670 0.500 x4

Energy of formation in eV per atom: 0.24

=====

[8]
Density functional theory data (GGA-PBE) for a relaxed LaRePb2 crystal.

Unit cell a=3.708 b=4.901 c=5.818 alpha=90.00 beta=101.08 gamma=90.00
Space group P2/m (No. 10)
Asymmetric unit:
La1 0.000 0.000 0.000 x1
Re1 0.500 0.000 0.500 x1
Pb1 0.353 0.500 0.725 x2

Energy of formation in eV per atom: 0.38

=====

[9]
Density functional theory data (GGA-PBE) for a relaxed Cu2AgPb crystal.

Unit cell a=3.347 b=3.430 c=6.184 alpha=90.00 beta=90.00 gamma=90.00
Space group Pmmm (No. 47)
Asymmetric unit:
Cu1 0.000 0.000 0.212 x2
Ag1 0.500 0.500 0.000 x1
Pb1 0.500 0.500 0.500 x1

Energy of formation in eV per atom: 0.20

=====

Number 1: Fermi-level density of states 3.70 states/eV per cell, total DFT energy (no corrections) -3.6180 eV/atom. Number 2: Fermi-level density of states 4.96 states/eV per cell, total DFT energy (no corrections) -4.5347 eV/atom. Number 3: Fermi-level density of states 31.06 states/eV per cell, total DFT energy (no corrections) -4.5910 eV/atom. Number 4: Fermi-level density of states 6.45 states/eV per cell, total DFT energy (no corrections) -4.6191 eV/atom. Number 5: Fermi-level density of states 2.10 states/eV per cell, total DFT energy (no corrections) -3.7619 eV/atom. Number 6: Fermi-level density of states 2.30 states/eV per cell, total DFT energy (no corrections) -3.1526 eV/atom. Number 7: Fermi-level density of states 13.07 states/eV per cell, total DFT energy (no corrections) -5.8386 eV/atom. Number 8: Fermi-level density of states 3.32 states/eV per cell, total DFT energy (no corrections) -5.8185 eV/atom. Number 9: Fermi-level density of states 1.09 states/eV per cell, total DFT energy (no corrections) -3.4905 eV/atom.